Entry 1:
! NaYSiB2 | the Alexandria database | PBE | relaxed; values from VASP
&SYSTEM
  ibrav = 0, nat = 5, ntyp = 4
/
ATOMIC_SPECIES
B 10.81 B.upf
Si 28.09 Si.upf
Na 22.99 Na.upf
Y 88.91 Y.upf
CELL_PARAMETERS angstrom
4.641 0.000 0.000
0.000 5.497 0.000
0.000 0.000 4.641
ATOMIC_POSITIONS angstrom
B 0.000 0.000 2.320
B 2.320 0.000 0.000
Si 2.320 2.748 2.320
Na 0.000 2.748 0.000
Y 0.000 0.000 0.000
! Theoretical density: 2.27 g/cm³
! Calculated volume: 118.4 Å³ per cell
! Raw total energy: -16.92 eV/cell
! Uncorrected formation energy: 1.928 eV/atom


Entry 2:
! NaSnB3 | the Alexandria database | PBE | relaxed; values from VASP
&SYSTEM
  ibrav = 0, nat = 5, ntyp = 3
/
ATOMIC_SPECIES
B 10.81 B.upf
Sn 118.71 Sn.upf
Na 22.99 Na.upf
CELL_PARAMETERS angstrom
-1.746 -3.214 2.777
1.527 -3.277 -2.832
3.964 -0.153 2.315
ATOMIC_POSITIONS angstrom
B -0.873 -1.607 1.389
B 0.764 -1.638 -1.416
B 1.982 -0.077 1.157
Sn 0.000 0.000 0.000
Na 1.873 -3.322 1.130
! Theoretical density: 2.98 g/cm³
! Calculated volume: 96.9 Å³ per cell
! Raw total energy: -15.81 eV/cell
! Calculated formation energy: 1.91 eV/atom